1.
Entry from Alexandria via LeMat-Bulk: an optimized crystal structure of AcLaPu2S4 (PBE).

Geometry as POSCAR:
```
AcLaPu2S4
1.0
-1.470 -3.809 -0.034
2.417 -0.874 -6.674
6.593 -2.547 0.227
Ac La Pu S
1 1 2 4
Cartesian
7.067 -4.888 -3.127
4.505 -1.710 -3.224
6.593 -2.547 0.227
2.561 -3.178 0.096
6.734 -2.555 -4.984
0.806 -4.675 -1.497
2.759 -3.209 -5.090
4.780 -4.021 -1.392
```

Computed properties:
* E: -69.52 eV for the cell shown
* total magnetization: 11.411 Bohr magnetons per cell
* symmetry: P2/m, No. 10

***

2.
Entry from Alexandria via LeMat-Bulk: an optimized crystal structure of Tb3Ho6ThSc2 (PBE).

Geometry as POSCAR:
```
Tb3Ho6ThSc2
1.0
-5.791 -1.509 0.811
3.964 -4.146 -1.888
2.863 -0.918 11.246
Tb Ho Th Sc
3 6 1 2
Cartesian
3.762 -4.164 4.187
-2.726 -2.409 5.982
0.518 -3.286 5.084
-0.836 -4.502 8.126
-0.666 -4.462 1.952
1.872 -2.070 2.043
2.411 -5.380 7.227
1.702 -2.111 8.217
-1.375 -1.192 2.941
0.000 0.000 0.000
0.715 -3.268 -0.989
-2.542 -2.387 -0.088
```

Computed properties:
* DFT formation energy: 43 kJ/mol of formula units
* total magnetization: 0.000 Bohr magnetons per cell
* symmetry: C2/m, No. 12

***

3.
Entry from Alexandria via LeMat-Bulk: an optimized crystal structure of Ti2Cd2P (PBE).

Geometry as POSCAR:
```
Ti2Cd2P
1.0
6.354 0.000 0.000
0.000 6.354 0.000
0.000 0.000 4.747
P Ti Cd
2 4 4
Cartesian
0.000 0.000 0.000
3.177 3.177 0.000
2.166 5.343 0.000
5.343 4.187 0.000
4.187 1.010 0.000
1.010 2.166 0.000
0.993 4.170 2.374
4.170 5.360 2.374
5.360 2.183 2.374
2.183 0.993 2.374
```

Computed properties:
* DFT formation energy: -143 kJ/mol of formula units
* total magnetization: 0.811 Bohr magnetons per cell
* symmetry: P4/mbm, No. 127

***

4.
Entry from Alexandria via LeMat-Bulk: an optimized crystal structure of BaTaSe2 (PBE).

Geometry as POSCAR:
```
BaTaSe2
1.0
3.399 0.000 0.000
0.000 3.399 0.000
0.000 0.000 7.769
Ba Se Ta
1 2 1
Cartesian
1.700 1.700 5.827
0.000 0.000 0.432
0.000 0.000 3.452
1.700 1.700 1.942
```

Computed properties:
* total magnetization: 0.000 Bohr magnetons per cell
* symmetry: P4/mmm, No. 123
* E above lowest polymorph: 154.8 meV per atom

***

5.
Entry from Alexandria via LeMat-Bulk: an optimized crystal structure of LiGdSnRu (PBE).

Geometry as POSCAR:
```
LiGdSnRu
1.0
-1.883 -4.340 0.466
1.827 -3.657 -2.426
2.408 -3.403 2.285
Ru Gd Sn Li
1 1 1 1
Cartesian
1.176 -5.700 0.162
0.588 -2.850 0.081
1.765 -8.550 0.244
0.000 0.000 0.000
```

Computed properties:
* DFT formation energy: -153 kJ/mol of formula units
* total magnetization: 7.523 Bohr magnetons per cell
* symmetry: F-43m, No. 216

***

6.
Entry from Alexandria via LeMat-Bulk: an optimized crystal structure of Ce2ErGa3Pt4 (PBE).

Geometry as POSCAR:
```
Ce2ErGa3Pt4
1.0
-2.166 1.970 -3.028
-3.592 -1.552 1.559
-1.058 9.255 6.778
Ce Er Ga Pt
2 1 3 4
Cartesian
-1.329 3.135 0.060
-2.608 6.329 5.983
-3.408 4.836 2.654
-0.529 4.628 3.389
-2.009 9.085 4.418
-1.928 0.379 1.626
-2.879 0.209 -0.735
0.000 0.000 0.000
-1.779 7.076 2.946
-2.158 2.389 3.097
```

Computed properties:
* DFT formation energy: -910 kJ/mol of formula units
* total magnetization: 1.863 Bohr magnetons per cell
* symmetry: P-4m2, No. 115

***

7.
Entry from Alexandria via LeMat-Bulk: an optimized crystal structure of Rb2BeBr (PBE).

Geometry as POSCAR:
```
Rb2BeBr
1.0
0.000 4.306 4.306
4.306 0.000 4.306
4.306 4.306 0.000
Be Br Rb
1 1 2
Cartesian
0.000 0.000 0.000
4.306 4.306 4.306
2.153 2.153 2.153
6.458 6.458 6.458
```

Computed properties:
* total magnetization: 0.007 Bohr magnetons per cell
* symmetry: Fm-3m, No. 225
* E above lowest polymorph: 6.8 meV per atom

***

8.
Entry from Alexandria via LeMat-Bulk: an optimized crystal structure of Hg4PI2F (PBE).

Geometry as POSCAR:
```
Hg4PI2F
1.0
-7.410 -0.552 -0.796
0.732 -8.676 -0.789
-0.769 -0.763 7.683
Hg P I F
8 2 4 2
Cartesian
-2.061 -1.393 -0.345
-5.627 -8.264 2.534
-3.464 -1.574 3.415
-6.215 -8.232 -1.439
-3.133 -7.324 5.395
-6.813 -2.955 1.543
-7.088 -3.228 4.289
-2.639 -6.834 0.458
-3.245 -7.861 2.813
-7.052 -1.991 -0.903
-3.447 -3.565 1.297
-3.824 -3.940 5.066
-7.329 -6.682 4.517
-6.938 -6.293 0.603
0.023 -8.972 3.029
-4.011 -0.409 -0.442
```

Computed properties:
* E: -28.32 eV for the cell shown
* total magnetization: 0.000 Bohr magnetons per cell
* symmetry: Pmn2_1, No. 31